Record 1
{
  "formula": "GdErGa2I2",
  "functional": "GGA-PBE",
  "state": "optimized geometry",
  "lattice_angstrom": [[4.196, 0.000, 0.000], [-2.098, 3.634, 0.000], [0.000, 0.000, 12.158]],
  "species": ["Gd", "Er", "Ga", "Ga", "I", "I"],
  "frac_coords": [[0.000, 0.000, 0.000], [0.000, 0.000, 0.669], [0.333, 0.667, 0.862], [0.667, 0.333, 0.806], [0.333, 0.667, 0.506], [0.667, 0.333, 0.165]],
  "spacegroup": "P3m1, No. 156",
  "total_energy_ev_per_atom": -4.088
}

Record 2
{
  "formula": "MgAlCdAu",
  "functional": "GGA-PBE",
  "state": "optimized geometry",
  "lattice_angstrom": [[6.657, 0.000, 0.000], [0.000, 6.657, 0.000], [0.000, 0.000, 6.657]],
  "species": ["Mg", "Mg", "Mg", "Mg", "Al", "Al", "Al", "Al", "Cd", "Cd", "Cd", "Cd", "Au", "Au", "Au", "Au"],
  "frac_coords": [[0.000, 0.000, 0.000], [0.000, 0.500, 0.500], [0.500, 0.000, 0.500], [0.500, 0.500, 0.000], [0.000, 0.000, 0.500], [0.000, 0.500, 0.000], [0.500, 0.000, 0.000], [0.500, 0.500, 0.500], [0.250, 0.250, 0.250], [0.250, 0.750, 0.750], [0.750, 0.250, 0.750], [0.750, 0.750, 0.250], [0.250, 0.250, 0.750], [0.250, 0.750, 0.250], [0.750, 0.250, 0.250], [0.750, 0.750, 0.750]],
  "spacegroup": "F-43m, No. 216",
  "de_polymorph_mev_per_atom": 0
}

Record 3
{
  "formula": "Na2PtI6",
  "functional": "GGA-PBE",
  "state": "optimized geometry",
  "lattice_angstrom": [[-3.972, 3.972, 5.498], [3.972, -3.972, 5.498], [3.972, 3.972, -5.498]],
  "species": ["Na", "Na", "Pt", "I", "I", "I", "I", "I", "I"],
  "frac_coords": [[0.250, 0.750, 0.500], [0.750, 0.250, 0.500], [0.000, 0.000, 0.000], [0.239, 0.239, 0.479], [0.239, 0.761, 0.000], [0.244, 0.244, 0.000], [0.756, 0.756, 0.000], [0.761, 0.239, 0.000], [0.761, 0.761, 0.521]],
  "spacegroup": "I4/mmm, No. 139",
  "de_polymorph_mev_per_atom": 52
}